La3Mg after structural relaxation. Source: the Alexandria database, functional PBE.

a = 3.643 Å, b = 3.643 Å, c = 11.945 Å
α = 90.00°, β = 90.00°, γ = 120.00°
Sites, in units of the cell vectors:
La  0.000  0.000  0.989
La  0.000  0.000  0.511
La  0.667  0.333  0.250
Mg  0.667  0.333  0.750

Space group = No. 187
Energy of formation from the pure elements = 20.3 kJ/mol of formula units

***

Tb2Pm8Ho after structural relaxation. Source: the Alexandria database, functional PBE.

a = 6.724 Å, b = 10.324 Å, c = 10.324 Å
α = 38.38°, β = 59.69°, γ = 59.69°
Sites, in units of the cell vectors:
Tb  0.589  0.803  0.803
Tb  0.411  0.197  0.197
Pm  0.230  0.349  0.825
Pm  0.770  0.175  0.651
Pm  0.172  0.756  0.756
Pm  0.828  0.244  0.244
Pm  0.230  0.825  0.349
Pm  0.770  0.651  0.175
Pm  0.727  0.593  0.593
Pm  0.273  0.407  0.407
Ho  0.000  0.000  0.000

Space group = No. 12
Energy of formation from the pure elements = 175.6 kJ/mol of formula units

***

Ac8Co3Cu after structural relaxation. Source: the Alexandria database, functional PBE.

a = 8.638 Å, b = 8.642 Å, c = 8.311 Å
α = 121.23°, β = 90.00°, γ = 119.99°
Sites, in units of the cell vectors:
Ac  0.255  0.511  0.765
Ac  0.745  0.489  0.235
Ac  0.274  0.022  0.768
Ac  0.747  0.022  0.768
Ac  0.748  0.495  0.769
Ac  0.252  0.505  0.231
Ac  0.253  0.978  0.232
Ac  0.726  0.978  0.232
Co  0.500  0.000  0.000
Co  0.500  0.500  0.000
Co  0.000  0.500  0.000
Cu  0.000  0.000  0.000

Space group = No. 12
Energy of formation from the pure elements = -36.9 kJ/mol of formula units

***

no.,DOS at the Fermi energy (states/eV per cell)
1,6.79
2,17.92
3,10.13